# 1
This record from the Alexandria database describes a PBEsol-optimized structure of K2BaCa. The functional is meta-GGA SCAN.

a = 4.258 Å, b = 6.001 Å, c = 9.071 Å
α = 90.00°, β = 90.00°, γ = 90.00°
Space group Pmm2 (No. 25)
Inequivalent atoms, fractional coordinates:
K  0.000  0.000  0.000
K  0.500  0.500  0.260
Ba  0.000  0.000  0.533
Ca  0.500  0.500  0.745

Output
The value obtained for the energy relative to the lowest polymorph listed for this composition is 0.042 eV/atom. The density of states at the Fermi level comes out at 4.494 states/eV per cell. The calculation puts the spin magnetization at 0.071 μB per atom.

# 2
This record from the Alexandria database describes a PBEsol-optimized structure of Hg2Pt2Au. The functional is meta-GGA SCAN.

a = 3.696 Å, b = 3.696 Å, c = 14.125 Å
α = 90.00°, β = 90.00°, γ = 90.00°
Space group I4/mmm (No. 139)
Inequivalent atoms, fractional coordinates:
Hg  0.000  0.000  0.100
Pt  0.000  0.500  0.250
Au  0.000  0.000  0.500

Output
The density of states at the Fermi level comes out at 5.624 states/eV per cell. The calculation puts the total DFT energy (no corrections) at -2.5331 Ha/atom. The calculation puts the spin magnetization at 0.000 μB per atom.

# 3
This record from the Alexandria database describes a PBEsol-optimized structure of BePbO2F. The functional is meta-GGA SCAN.

a = 4.204 Å, b = 4.204 Å, c = 4.330 Å
α = 90.00°, β = 90.00°, γ = 90.00°
Space group P4/mmm (No. 123)
Inequivalent atoms, fractional coordinates:
Be  0.000  0.000  0.000
Pb  0.500  0.500  0.500
O  0.000  0.500  0.500
F  0.500  0.500  0.000

Output
The density of states at the Fermi level comes out at 1.706 states/eV per cell. As for the formation energy without anion corrections: -1.38 eV/f.u. The calculation puts the spin magnetization at 0.156 μB per atom.

# 4
This record from the Alexandria database describes a PBEsol-optimized structure of H16PdC4S4N8Cl2. The functional is meta-GGA SCAN.

a = 12.932 Å, b = 8.087 Å, c = 15.229 Å
α = 90.00°, β = 90.00°, γ = 90.00°
Space group Pna2_1 (No. 33)
Inequivalent atoms, fractional coordinates:
H  0.002  0.039  0.155
H  0.026  0.690  0.589
H  0.032  0.944  0.256
H  0.060  0.477  0.479
H  0.069  0.192  0.499
H  0.101  0.128  0.852
H  0.105  0.567  0.381
H  0.106  0.063  0.410
H  0.141  0.907  0.967
H  0.149  0.405  0.000
H  0.153  0.696  0.554
H  0.190  0.784  0.880
H  0.217  0.050  0.122
H  0.218  0.490  0.912
H  0.226  0.150  0.811
H  0.246  0.936  0.218
Pd  0.123  0.496  0.190
C  0.109  0.313  0.385
C  0.123  0.038  0.728
C  0.129  0.546  0.659
C  0.142  0.659  0.991
S  0.046  0.487  0.741
S  0.074  0.691  0.088
S  0.164  0.283  0.283
S  0.207  0.002  0.642
N  0.023  0.009  0.714
N  0.086  0.462  0.416
N  0.095  0.180  0.436
N  0.098  0.635  0.589
N  0.154  0.097  0.805
N  0.158  0.791  0.941
N  0.172  0.510  0.966
N  0.228  0.503  0.665
Cl  0.102  0.147  0.032
Cl  0.150  0.832  0.342

Output
The density of states at the Fermi level comes out at 0.000 states/eV per cell. The calculation puts the total DFT energy (no corrections) at -0.2829 Ha/atom. The calculation puts the spin magnetization at 0.000 μB per atom.

# 5
This record from the Alexandria database describes a PBEsol-optimized structure of Ca2PRu. The functional is meta-GGA SCAN.

a = 10.413 Å, b = 3.652 Å, c = 4.861 Å
α = 90.00°, β = 113.62°, γ = 90.00°
Space group Cm (No. 8)
Inequivalent atoms, fractional coordinates:
Ca  0.000  0.000  0.000
Ca  0.200  0.000  0.673
P  0.444  0.000  0.453
Ru  0.315  0.500  0.300

Output
The density of states at the Fermi level comes out at 4.200 states/eV per cell. The calculation puts the total DFT energy (no corrections) at -0.6114 Ha/atom. The calculation puts the spin magnetization at 0.000 μB per atom.

# 6
This record from the Alexandria database describes a PBEsol-optimized structure of RbFe2CoF. The functional is meta-GGA SCAN.

a = 4.792 Å, b = 4.792 Å, c = 4.438 Å
α = 90.00°, β = 90.00°, γ = 90.00°
Space group P4/mmm (No. 123)
Inequivalent atoms, fractional coordinates:
Rb  0.000  0.000  0.000
Fe  0.000  0.500  0.000
Co  0.500  0.500  0.500
F  0.000  0.000  0.500

Output
The density of states at the Fermi level comes out at 3.243 states/eV per cell. As for the formation energy without anion corrections: 7.69 eV/f.u. The calculation puts the spin magnetization at 1.620 μB per atom.

- Which of these has the lowest density of states at the Fermi level?
  H16PdC4S4N8Cl2